(1)
The following is a GGA-PBE calculation of crystalline LaPrCuRh at its relaxed geometry, from Alexandria.

```
LaPrCuRh
1.0
4.407 0.000 0.000
0.000 2.005 5.507
0.000 -2.005 5.507
La Pr Cu Rh
1 1 1 1
direct
0.000 0.000 0.000
0.500 0.726 0.726
0.000 0.291 0.291
0.500 0.447 0.447
```

Values from the calculation:
As for the density of states at the Fermi level: 3.6 states/eV/cell. Its excess energy over the best structure of this formula in the dataset is 0 meV per atom. Its energy of formation is -0.47 eV per atom.

(2)
The following is a GGA-PBE calculation of crystalline LaPrCuRh at its relaxed geometry, from Alexandria.

```
LaPrCuRh
1.0
0.000 3.610 3.610
3.610 0.000 3.610
3.610 3.610 0.000
La Pr Cu Rh
1 1 1 1
direct
0.000 0.000 0.000
0.500 0.500 0.500
0.750 0.750 0.750
0.250 0.250 0.250
```

Values from the calculation:
As for the density of states at the Fermi level: 4.0 states/eV/cell. Its excess energy over the best structure of this formula in the dataset is 69 meV per atom. Its energy of formation is -0.40 eV per atom.

Number 1: spin magnetization 0.00 μB/f.u.. Number 2: spin magnetization 0.00 μB/f.u..